[1]
{
  "formula": "HfBi3Pd",
  "functional": "meta-GGA SCAN",
  "state": "single point on PBEsol structure",
  "lattice": [[-3.497, 2.773, -3.181], [-2.723, -4.639, -1.051], [-3.224, 0.910, 4.338]],
  "species": ["Hf", "Pd", "Bi", "Bi", "Bi"],
  "frac_coords": [[0.000, 0.000, 0.000], [0.500, 0.500, 0.500], [0.000, 0.000, 0.500], [0.500, 0.000, 0.000], [0.000, 0.500, 0.000]],
  "relative_energy_ev_per_atom": 0.0282,
  "space_group": "Pm-3m (221)"
}

***

[2]
{
  "formula": "Hf2BiPd",
  "functional": "meta-GGA SCAN",
  "state": "single point on PBEsol structure",
  "lattice": [[5.942, 0.000, 0.000], [2.971, 5.407, 0.000], [2.971, 0.000, 5.407]],
  "species": ["Hf", "Hf", "Hf", "Hf", "Bi", "Bi", "Pd", "Pd"],
  "frac_coords": [[0.875, 0.964, 0.536], [0.589, 0.536, 0.036], [0.161, 0.464, 0.964], [0.375, 0.036, 0.464], [0.750, 0.500, 0.500], [0.000, 0.000, 0.000], [0.250, 0.500, 0.500], [0.500, 0.000, 0.000]],
  "space_group": "I-42d (122)"
}

***

[3]
{
  "formula": "HfBiPt2",
  "functional": "meta-GGA SCAN",
  "state": "single point on PBEsol structure",
  "lattice": [[-4.743, 2.809, 2.431], [0.513, -3.409, 4.941], [5.775, 4.375, -1.255]],
  "species": ["Hf", "Hf", "Bi", "Bi", "Pt", "Pt", "Pt", "Pt"],
  "frac_coords": [[0.750, 0.250, 0.500], [0.500, 0.500, 0.000], [0.250, 0.750, 0.500], [0.000, 0.000, 0.000], [0.125, 0.140, 0.750], [0.860, 0.375, 0.250], [0.625, 0.610, 0.750], [0.390, 0.875, 0.250]],
  "space_group": "I-42d (122)"
}

***

[4]
{
  "formula": "SrHfBi2Pt",
  "functional": "meta-GGA SCAN",
  "state": "single point on PBEsol structure",
  "lattice": [[5.338, 0.000, 0.000], [0.000, 5.378, 0.000], [0.000, 0.000, 5.378]],
  "species": ["Sr", "Bi", "Bi", "Hf", "Pt"],
  "frac_coords": [[0.500, 0.000, 0.000], [0.000, 0.500, 0.000], [0.000, 0.000, 0.500], [0.500, 0.500, 0.500], [0.000, 0.000, 0.000]],
  "space_group": "P4/mmm (123)"
}

***

It is found that the formation enthalpy at 0 K values, taken in the order of the records, are 0.671; -0.175; -0.258; 0.394 eV/atom.